[1]
BaLa2Zr2: optimized geometry, PBE-GGA.

Its size of the total moment is 0.00 μB per formula unit. The calculation puts the density of states at the Fermi level at 1.520 states/eV per atom. The theoretical density comes out at 6037 kg/m3. The calculation puts the total energy at -5.46 eV/atom. For the formation energy, the calculation gives 0.32 eV/atom. The value obtained for the offset from the most stable computed form is 21 meV/atom.

The structure in CIF format:
```
data_BaLa2Zr2
_space_group_name_H-M_alt 'P 4/m b m'
_space_group_IT_number 127
_space_group_name_Hall '-P 4 2ab'
_cell_length_a 9.786
_cell_length_b 9.786
_cell_length_c 3.433
_cell_angle_alpha 90.00
_cell_angle_beta 90.00
_cell_angle_gamma 90.00
loop_
_atom_site_label
_atom_site_type_symbol
_atom_site_fract_x
_atom_site_fract_y
_atom_site_fract_z
_atom_site_occupancy
Ba1 Ba 0.000 0.000 0.000 1
La1 La 0.182 0.318 0.000 1
Zr1 Zr 0.110 0.610 0.500 1
```

[2]
K3Zn4Ag2: optimized geometry, PBE-GGA.

Its size of the total moment is 0.00 μB per formula unit. The calculation puts the density of states at the Fermi level at 0.326 states/eV per atom. The theoretical density comes out at 3906 kg/m3. The calculation puts the total energy at -1.57 eV/atom. For the formation energy, the calculation gives 0.00 eV/atom.

The structure in CIF format:
```
data_K3Zn4Ag2
_space_group_name_H-M_alt 'C 1 2/m 1'
_space_group_IT_number 12
_cell_length_a 12.459
_cell_length_b 4.614
_cell_length_c 9.411
_cell_angle_alpha 90.00
_cell_angle_beta 110.85
_cell_angle_gamma 90.00
loop_
_space_group_symop_operation_xyz
'x,y,z'
'-x,-y,-z'
'-x,y,-z'
'x,-y,z'
'x+1/2,y+1/2,z'
'-x+1/2,-y+1/2,-z'
'-x+1/2,y+1/2,-z'
'x+1/2,-y+1/2,z'
loop_
_atom_site_label
_atom_site_type_symbol
_atom_site_fract_x
_atom_site_fract_y
_atom_site_fract_z
_atom_site_occupancy
K1 K 0.000 0.000 0.000 1
K2 K 0.126 0.500 0.370 1
Zn1 Zn 0.085 0.000 0.633 1
Zn2 Zn 0.244 0.000 0.919 1
Ag1 Ag 0.178 0.500 0.773 1
```

[3]
LiNiPbS2: optimized geometry, PBE-GGA.

Its size of the total moment is 0.00 μB per formula unit. The calculation puts the density of states at the Fermi level at 0.680 states/eV per atom. The theoretical density comes out at 5761 kg/m3. The calculation puts the total energy at -3.42 eV/atom. The uncorrected formation energy comes out at 516 meV/atom.

The structure in CIF format:
```
data_LiNiPbS2
_space_group_name_H-M_alt 'P 4/m m m'
_space_group_IT_number 123
_space_group_name_Hall '-P 4 2'
_cell_length_a 4.475
_cell_length_b 4.475
_cell_length_c 4.849
_cell_angle_alpha 90.00
_cell_angle_beta 90.00
_cell_angle_gamma 90.00
loop_
_atom_site_label
_atom_site_type_symbol
_atom_site_fract_x
_atom_site_fract_y
_atom_site_fract_z
_atom_site_occupancy
Li1 Li 0.000 0.000 0.000 1
Ni1 Ni 0.500 0.500 0.500 1
Pb1 Pb 0.000 0.000 0.500 1
S1 S 0.000 0.500 0.000 1
```

[4]
Ca2ZrTc: optimized geometry, PBE-GGA.

Its size of the total moment is 0.00 μB per formula unit. The calculation puts the density of states at the Fermi level at 0.769 states/eV per atom. The theoretical density comes out at 4840 kg/m3. The calculation puts the total energy at -5.14 eV/atom. For the formation energy, the calculation gives 0.59 eV/atom. The value obtained for the offset from the most stable computed form is 501 meV/atom.

The structure in CIF format:
```
data_Ca2ZrTc
_space_group_name_H-M_alt 'C 1 2/m 1'
_space_group_IT_number 12
_cell_length_a 5.798
_cell_length_b 10.713
_cell_length_c 3.042
_cell_angle_alpha 90.00
_cell_angle_beta 102.02
_cell_angle_gamma 90.00
loop_
_space_group_symop_operation_xyz
'x,y,z'
'-x,-y,-z'
'-x,y,-z'
'x,-y,z'
'x+1/2,y+1/2,z'
'-x+1/2,-y+1/2,-z'
'-x+1/2,y+1/2,-z'
'x+1/2,-y+1/2,z'
loop_
_atom_site_label
_atom_site_type_symbol
_atom_site_fract_x
_atom_site_fract_y
_atom_site_fract_z
_atom_site_occupancy
Ca1 Ca 0.250 0.250 0.000 1
Zr1 Zr 0.000 0.000 0.500 1
Tc1 Tc 0.000 0.500 0.500 1
```

- Among the records above, which one has the lowest theoretical density?
  K3Zn4Ag2